[1]
Computed, not measured: SrTl2Pd after structural relaxation at the PBE level of DFT.

- space-group type = No. 122
- energy of formation from the pure elements (eV/atom) = -0.162

a b c (Å): 11.5740 11.5740 11.5740
angles (deg): 157.30 157.30 32.32
With the nearest neighbours (Å) after each atom.
Element x y z (fractional)
Sr  0.0000  0.0000  0.0000  4 Pd 3.22, 4 Tl 3.27
Sr  0.7500  0.2500  0.5000  4 Pd 3.22, 4 Tl 3.27
Tl  0.1572  0.6250  0.0322  2 Tl 3.02, 2 Pd 3.16, 2 Sr 3.27
Tl  0.3750  0.4072  0.5322  2 Tl 3.02, 2 Pd 3.16, 2 Sr 3.27
Tl  0.5928  0.1250  0.9678  2 Tl 3.02, 2 Pd 3.16, 2 Sr 3.27
Tl  0.8750  0.8428  0.4678  2 Tl 3.02, 2 Pd 3.16, 2 Sr 3.27
Pd  0.2500  0.7500  0.5000  4 Tl 3.16, 4 Sr 3.22
Pd  0.5000  0.5000  0.0000  4 Tl 3.16, 4 Sr 3.22

[2]
Computed, not measured: SrMnSi3 after structural relaxation at the PBE level of DFT.

- formation energy (no corrections) (eV per atom) = -0.030
- space-group type = No. 221

a b c (Å): 4.5661 4.5661 4.5661
angles (deg): 90.00 90.00 90.00
With the nearest neighbours (Å) after each atom.
Element x y z (fractional)
Sr  0.0000  0.0000  0.0000  12 Si 3.23
Mn  0.5000  0.5000  0.5000  6 Si 2.28
Si  0.0000  0.5000  0.5000  2 Mn 2.28
Si  0.5000  0.0000  0.5000  2 Mn 2.28
Si  0.5000  0.5000  0.0000  2 Mn 2.28

[3]
Computed, not measured: KCuHg2Sb after structural relaxation at the PBE level of DFT.

- formation energy (no corrections) (eV per atom) = -0.032
- space-group type = No. 123

a b c (Å): 5.2611 5.2611 5.2386
angles (deg): 90.00 90.00 90.00
With the nearest neighbours (Å) after each atom.
Element x y z (fractional)
K  0.0000  0.0000  0.0000  8 Hg 3.71, 4 Sb 3.72
Cu  0.5000  0.5000  0.5000  2 Sb 2.62, 4 Hg 2.63
Hg  0.0000  0.5000  0.5000  2 Cu 2.63
Hg  0.5000  0.0000  0.5000  2 Cu 2.63
Sb  0.5000  0.5000  0.0000  2 Cu 2.62

[4]
Computed, not measured: Pu2Co3As4Ir after structural relaxation at the PBE level of DFT.

- space-group type = No. 115
- energy of formation from the pure elements (eV/atom) = -0.568

a b c (Å): 4.1504 4.1504 9.5057
angles (deg): 90.00 90.00 90.00
With the nearest neighbours (Å) after each atom.
Element x y z (fractional)
Pu  0.0000  0.5000  0.2420  8 As 3.10-3.13, 7 Co 3.18-3.37, 2 Ir 3.21
Pu  0.5000  0.0000  0.7580  8 As 3.10-3.13, 7 Co 3.18-3.37, 2 Ir 3.21
Co  0.0000  0.5000  0.8874  5 As 2.31-2.34
Co  0.5000  0.0000  0.1126  5 As 2.31-2.34
Co  0.5000  0.5000  0.5000  4 As 2.49
As  0.0000  0.0000  0.0000  4 Co 2.34
As  0.0000  0.5000  0.6448  3 Co 2.31-2.49, 2 Ir 2.49
As  0.5000  0.0000  0.3552  3 Co 2.31-2.49, 2 Ir 2.49
As  0.5000  0.5000  0.0000  4 Co 2.34
Ir  0.0000  0.0000  0.5000  4 As 2.49

[5]
Computed, not measured: ErNp2CuS5 after structural relaxation at the PBE level of DFT.

- formation energy (no corrections) (eV per atom) = -1.376
- space-group type = No. 36

a b c (Å): 8.3308 8.3308 11.7086
angles (deg): 90.00 90.00 153.71
With the nearest neighbours (Å) after each atom.
Element x y z (fractional)
Er  0.1815  0.8185  0.5000  6 S 2.68-2.73
Er  0.8185  0.1815  0.0000  6 S 2.68-2.73
Np  0.1111  0.8889  0.8206  7 S 2.80-3.00
Np  0.1171  0.8829  0.1659  8 S 2.82-3.00
Np  0.8829  0.1171  0.6659  8 S 2.82-3.00
Np  0.8889  0.1111  0.3206  7 S 2.80-3.00
Cu  0.4482  0.5518  0.8980  4 S 2.25-2.34
Cu  0.5518  0.4482  0.3980  4 S 2.25-2.34
S  0.0140  0.9860  0.4926  2 Cu 2.28
S  0.3022  0.6978  0.1631  2 Er 2.70, 3 Np 3.00
S  0.3121  0.6879  0.8325  1 Cu 2.34
S  0.3467  0.6533  0.4929  1 Er 2.68, 4 Np 2.83-2.85
S  0.4951  0.5049  0.2230  1 Cu 2.25
S  0.5049  0.4951  0.7230  1 Cu 2.25
S  0.6533  0.3467  0.9929  1 Er 2.68, 4 Np 2.83-2.85
S  0.6879  0.3121  0.3325  1 Cu 2.34
S  0.6978  0.3022  0.6631  2 Er 2.70, 3 Np 3.00
S  0.9860  0.0140  0.9926  2 Cu 2.28

[6]
Computed, not measured: Mg2ReIr after structural relaxation at the PBE level of DFT.

- space-group type = No. 65
- energy of formation from the pure elements (eV/atom) = 0.070

a b c (Å): 2.7522 2.7522 8.8964
angles (deg): 90.00 90.00 111.08
With the nearest neighbours (Å) after each atom.
Element x y z (fractional)
Mg  0.0000  0.0000  0.2416  2 Ir 2.65, 4 Mg 2.75, 2 Re 2.78
Mg  0.0000  0.0000  0.7584  2 Ir 2.65, 4 Mg 2.75, 2 Re 2.78
Re  0.5000  0.5000  0.5000  4 Re 2.75, 4 Mg 2.78
Ir  0.5000  0.5000  0.0000  4 Mg 2.65, 4 Ir 2.75

One value per record, in order, for VASP energy: -3.06; -5.45; -2.02; -8.31; -7.51; -6.05 eV/atom.